(1)
# Sc2SiCl

Sc2SiCl after structural relaxation (PBE, the Alexandria database).

```
Sc2SiCl
1.0
-1.174 2.540 1.491
0.435 -1.818 2.561
6.917 2.744 0.773
Cl Sc Si
1 2 1
Cartesian
4.818 2.419 2.606
0.140 0.055 0.016
3.319 1.317 0.371
1.360 1.047 2.219
```

Properties
Space-group type: Cmmm, No. 65
Raw formation energy in meV per atom: -793

---

(2)
# ScSi2Cl

ScSi2Cl after structural relaxation (PBE, the Alexandria database).

```
ScSi2Cl
1.0
-1.440 3.665 -3.038
-3.728 1.105 3.101
1.798 1.928 1.474
Cl Sc Si
1 1 2
Cartesian
0.179 2.797 -0.782
-0.965 1.517 2.288
0.000 0.000 0.000
-2.584 2.385 0.031
```

Properties
Space-group type: P4/mmm, No. 123
Raw formation energy in meV per atom: -9

---

(3)
# ScSiCl2

ScSiCl2 after structural relaxation (PBE, the Alexandria database).

```
ScSiCl2
1.0
-2.107 -2.116 1.769
3.217 0.806 1.025
-3.440 7.515 4.892
Cl Sc Si
2 1 1
Cartesian
-3.189 6.967 4.535
-0.552 1.764 2.971
-1.768 3.863 2.515
-1.980 4.884 5.002
```

Properties
Space-group type: Cmm2, No. 35
Raw formation energy in meV per atom: -602

---

(4)
# Sc2SiCl

Sc2SiCl after structural relaxation (PBE, the Alexandria database).

```
Sc2SiCl
1.0
-6.012 -0.731 -3.608
-5.177 -4.738 -0.675
4.282 4.163 3.747
Cl Sc Si
1 2 1
Cartesian
-2.729 -1.403 0.662
-0.361 -0.176 -0.138
-4.357 0.009 -1.267
-5.055 -2.470 -1.935
```

Properties
Space-group type: Imm2, No. 44
Raw formation energy in meV per atom: -831

---

(5)
# ScSiCl2

ScSiCl2 after structural relaxation (PBE, the Alexandria database).

```
ScSiCl2
1.0
4.494 0.000 0.000
0.000 3.640 0.003
0.000 -0.082 5.022
Cl Sc Si
2 1 1
Cartesian
0.000 0.105 0.024
0.000 1.673 2.489
2.247 0.889 1.256
2.247 2.668 3.769
```

Properties
Space-group type: P2/m, No. 10
Raw formation energy in meV per atom: -605

---

(6)
# ScSi2Cl

ScSi2Cl after structural relaxation (PBE, the Alexandria database).

```
ScSi2Cl
1.0
9.013 0.000 0.000
0.000 9.013 0.000
4.506 4.506 2.323
Sc Si Cl
2 4 2
Cartesian
0.000 0.000 0.000
9.013 4.506 1.161
7.286 2.253 0.581
1.727 6.760 0.581
6.760 6.233 1.742
11.266 11.793 1.742
4.506 4.506 0.000
4.506 9.013 1.161
```

Properties
Space-group type: I-42d, No. 122
Raw formation energy in meV per atom: -61

---

(7)
# ScSi3Cl

ScSi3Cl after structural relaxation (PBE, the Alexandria database).

```
ScSi3Cl
1.0
5.203 0.000 0.000
0.000 5.203 0.000
0.000 0.000 5.203
Sc Si Cl
1 3 1
Cartesian
0.000 0.000 0.000
0.000 2.601 0.000
0.000 0.000 2.601
2.601 0.000 0.000
2.601 2.601 2.601
```

Properties
Space-group type: Pm-3m, No. 221
Raw formation energy in meV per atom: 930

---

(8)
# ScSi2Cl

ScSi2Cl after structural relaxation (PBE, the Alexandria database).

```
ScSi2Cl
1.0
5.104 0.069 -0.085
0.661 5.061 0.085
-1.957 -3.605 3.039
Cl Sc Si
1 1 2
Cartesian
2.982 2.653 0.000
3.018 -0.482 1.477
0.153 0.136 0.000
0.538 1.783 1.562
```

Properties
Space-group type: Imm2, No. 44
Raw formation energy in meV per atom: -315

---

Number 1: final energy -23.11 eV/cell, magnetization 0.0 μB/cell, excess energy over the best structure of this formula in the dataset 214.4 meV per atom. Number 2: final energy -19.06 eV/cell, magnetization 0.0 μB/cell, excess energy over the best structure of this formula in the dataset 590.9 meV per atom. Number 3: final energy -17.85 eV/cell, magnetization 0.6 μB/cell, excess energy over the best structure of this formula in the dataset 347.2 meV per atom. Number 4: final energy -23.26 eV/cell, magnetization 0.3 μB/cell, excess energy over the best structure of this formula in the dataset 177.2 meV per atom. Number 5: final energy -17.87 eV/cell, magnetization 0.0 μB/cell, excess energy over the best structure of this formula in the dataset 344.4 meV per atom. Number 6: final energy -38.54 eV/cell, magnetization 0.0 μB/cell, excess energy over the best structure of this formula in the dataset 538.7 meV per atom. Number 7: final energy -19.80 eV/cell, magnetization 0.0 μB/cell, excess energy over the best structure of this formula in the dataset 189.6 meV per atom. Number 8: final energy -20.28 eV/cell, magnetization 0.0 μB/cell, excess energy over the best structure of this formula in the dataset 284.8 meV per atom.